# 1
Cs2NiPdF, single point on PBEsol structure, DFT SCAN; raw formation energy = -0.310 eV/atom
1.0
5.848 0.000 0.000
0.000 5.848 0.000
0.000 0.000 4.173
Cs Ni Pd F
2 1 1 1
Cartesian
0.000 2.924 0.000
2.924 0.000 0.000
0.000 0.000 2.087
2.924 2.924 2.087
2.924 2.924 0.000



# 2
Ba2BeCdTe, single point on PBEsol structure, DFT SCAN; raw formation energy = -0.397 eV/atom
1.0
6.288 0.000 0.000
0.000 6.288 0.000
0.000 0.000 4.523
Ba Be Cd Te
2 1 1 1
Cartesian
0.000 3.144 0.000
3.144 0.000 0.000
0.000 0.000 2.262
0.000 0.000 0.000
3.144 3.144 2.262



# 3
PO2, single point on PBEsol structure, DFT SCAN; raw formation energy = -1.978 eV/atom
1.0
4.827 -4.903 0.000
4.827 4.903 0.000
-1.159 0.000 7.513
P O
8 16
Cartesian
3.387 3.187 7.009
4.529 3.187 4.260
2.655 1.123 5.105
3.235 -1.123 1.349
5.261 1.123 6.164
5.840 -1.123 2.408
3.967 -3.187 3.253
5.108 -3.187 0.503
3.958 3.868 5.634
2.298 2.087 6.316
3.274 2.069 3.990
1.585 0.242 4.653
2.164 -0.242 0.897
4.642 2.069 7.279
5.618 2.087 4.953
3.958 0.316 5.634
4.538 -0.316 1.878
2.878 -2.087 2.559
3.854 -2.069 0.234
6.331 0.242 6.616
6.911 -0.242 2.860
5.222 -2.069 3.522
6.198 -2.087 1.197
4.538 -3.868 1.878



# 4
SrFeCoCl2, single point on PBEsol structure, DFT SCAN; raw formation energy = 0.159 eV/atom
1.0
5.305 0.000 0.000
0.000 5.305 0.000
0.000 0.000 6.634
Sr Fe Co Cl
1 1 1 2
Cartesian
0.000 0.000 0.000
0.000 0.000 3.317
2.652 2.652 3.317
0.000 2.652 0.000
2.652 0.000 0.000



# 5
Zr2BeAl, single point on PBEsol structure, DFT SCAN; final energy = -18.48 eV/atom
1.0
2.997 0.000 0.000
0.000 2.997 0.000
0.000 0.000 7.622
Zr Be Al
2 1 1
Cartesian
0.000 0.000 0.000
1.499 1.499 2.419
1.499 1.499 5.819
0.000 0.000 4.507



# 6
SrNiAs3, single point on PBEsol structure, DFT SCAN; final energy = -20.05 eV/atom
1.0
4.716 0.000 0.000
0.000 4.716 0.000
0.000 0.000 4.716
Sr Ni As
1 1 3
Cartesian
0.000 0.000 0.000
2.358 2.358 2.358
0.000 2.358 2.358
2.358 0.000 2.358
2.358 2.358 0.000



Number 1: magnetization 1.00 μB per cell. Number 2: magnetization 0.00 μB per cell. Number 3: magnetization 0.00 μB per cell. Number 4: magnetization 6.43 μB per cell. Number 5: magnetization 0.07 μB per cell. Number 6: magnetization 0.00 μB per cell.